1.
# GGA-PBE Pm4Sm7Th, optimized geometry
data_Pm4Sm7Th
_space_group_name_H-M_alt 'C 1 2/m 1'
_space_group_IT_number 12
_cell_length_a 12.205
_cell_length_b 6.078
_cell_length_c 12.872
_cell_angle_alpha 90.00
_cell_angle_beta 117.96
_cell_angle_gamma 90.00
loop_
_space_group_symop_operation_xyz
'x,y,z'
'-x,-y,-z'
'-x,y,-z'
'x,-y,z'
'x+1/2,y+1/2,z'
'-x+1/2,-y+1/2,-z'
'-x+1/2,y+1/2,-z'
'x+1/2,-y+1/2,z'
loop_
_atom_site_label
_atom_site_fract_x
_atom_site_fract_y
_atom_site_fract_z
_atom_site_occupancy
Pm1 0.063 0.000 0.324 1
Pm2 0.138 0.500 0.777 1
Sm1 0.000 0.000 0.000 1
Sm2 0.131 0.500 0.501 1
Sm3 0.210 0.000 0.922 1
Sm4 0.243 0.000 0.680 1
Th1 0.000 0.500 0.000 1
# - Fermi-level density of states: 1.452 states/eV/atom
# - ΔE_f: 0.27 eV/atom



2.
# GGA-PBE YPSN2, optimized geometry
data_YPSN2
_space_group_name_H-M_alt 'P 4/m m m'
_space_group_IT_number 123
_space_group_name_Hall '-P 4 2'
_cell_length_a 3.738
_cell_length_b 3.738
_cell_length_c 4.559
_cell_angle_alpha 90.00
_cell_angle_beta 90.00
_cell_angle_gamma 90.00
loop_
_atom_site_label
_atom_site_fract_x
_atom_site_fract_y
_atom_site_fract_z
_atom_site_occupancy
Y1 0.000 0.000 0.000 1
P1 0.500 0.500 0.500 1
S1 0.500 0.500 0.000 1
N1 0.000 0.500 0.500 1
# - Formation energy from raw total energies: -9.4 kJ/mol of atoms
# - Fermi-level density of states: 0.276 states/eV/atom